No. 1
This record from Alexandria describes crystalline CaBe2NiI at its relaxed geometry. The functional is PBE.

Output
space-group type: P4/mmm

abc: 4.704 4.704 5.685
angles: 90.00 90.00 90.00
Positions (direct):
1 Ca 0.000 0.000 0.000
2 Be 0.000 0.500 0.500
3 Be 0.500 0.000 0.500
4 Ni 0.500 0.500 0.000
5 I 0.000 0.000 0.500


No. 2
This record from Alexandria describes crystalline KTeIr2 at its relaxed geometry. The functional is PBE.

Output
space-group type: R-3m

abc: 9.859 9.859 9.859
angles: 18.43 18.43 18.43
Positions (direct):
1 K 0.000 0.000 0.000
2 Te 0.500 0.500 0.500
3 Ir 0.236 0.236 0.236
4 Ir 0.764 0.764 0.764


No. 3
This record from Alexandria describes crystalline Tb8Nd2Hg at its relaxed geometry. The functional is PBE.

Output
distance to the lowest polymorph of the same formula: 65 meV/atom
formation enthalpy at 0 K: 0.0250 eV/atom
space-group type: C2/m

abc: 9.166 9.166 7.924
angles: 110.84 110.84 34.33
Positions (direct):
1 Tb 0.019 0.019 0.262
2 Tb 0.176 0.176 0.726
3 Tb 0.336 0.336 0.581
4 Tb 0.404 0.404 0.073
5 Tb 0.596 0.596 0.927
6 Tb 0.664 0.664 0.419
7 Tb 0.824 0.824 0.274
8 Tb 0.981 0.981 0.738
9 Nd 0.190 0.190 0.157
10 Nd 0.810 0.810 0.843
11 Hg 0.500 0.500 0.500


No. 4
This record from Alexandria describes crystalline ThIn2Pt at its relaxed geometry. The functional is PBE.

Output
formation enthalpy at 0 K: 0.0498 eV/atom
space-group type: R-3m

abc: 10.823 10.823 10.823
angles: 17.81 17.81 17.81
Positions (direct):
1 Th 0.000 0.000 0.000
2 In 0.103 0.103 0.103
3 In 0.897 0.897 0.897
4 Pt 0.500 0.500 0.500


No. 5
This record from Alexandria describes crystalline MoIr2 at its relaxed geometry. The functional is PBE.

Output
formation enthalpy at 0 K: 0.1870 eV/atom
space-group type: Fm-3m

abc: 4.204 4.204 4.204
angles: 60.00 60.00 60.00
Positions (direct):
1 Mo 0.000 0.000 0.000
2 Ir 0.250 0.250 0.250
3 Ir 0.750 0.750 0.750


No. 6
This record from Alexandria describes crystalline AlSi2PtRh at its relaxed geometry. The functional is PBE.

Output
distance to the lowest polymorph of the same formula: 691 meV/atom
space-group type: P4/mmm

abc: 4.588 4.588 4.371
angles: 90.00 90.00 90.00
Positions (direct):
1 Al 0.000 0.000 0.000
2 Si 0.000 0.500 0.000
3 Si 0.500 0.000 0.000
4 Pt 0.500 0.500 0.500
5 Rh 0.000 0.000 0.500


No. 7
This record from Alexandria describes crystalline Cu2I2Br at its relaxed geometry. The functional is PBE.

Output
distance to the lowest polymorph of the same formula: 15 meV/atom
space-group type: P-1

abc: 6.728 7.128 7.889
angles: 80.17 78.72 61.86
Positions (direct):
1 Cu 0.142 0.445 0.340
2 Cu 0.258 0.998 0.002
3 Cu 0.742 0.002 0.998
4 Cu 0.858 0.555 0.660
5 I 0.140 0.690 0.052
6 I 0.414 0.057 0.255
7 I 0.586 0.943 0.745
8 I 0.860 0.310 0.948
9 Br 0.221 0.562 0.574
10 Br 0.779 0.438 0.426


No. 8
This record from Alexandria describes crystalline LiAl2Sn2Au5 at its relaxed geometry. The functional is PBE.

Output
formation enthalpy at 0 K: -0.2020 eV/atom
space-group type: P4/mbm

abc: 10.483 10.483 3.542
angles: 90.00 90.00 90.00
Positions (direct):
1 Li 0.000 0.000 0.000
2 Li 0.500 0.500 0.000
3 Al 0.136 0.364 0.000
4 Al 0.364 0.864 0.000
5 Al 0.636 0.136 0.000
6 Al 0.864 0.636 0.000
7 Sn 0.174 0.674 0.000
8 Sn 0.326 0.174 0.000
9 Sn 0.674 0.826 0.000
10 Sn 0.826 0.326 0.000
11 Au 0.000 0.500 0.500
12 Au 0.031 0.200 0.500
13 Au 0.200 0.969 0.500
14 Au 0.300 0.469 0.500
15 Au 0.469 0.700 0.500
16 Au 0.500 0.000 0.500
17 Au 0.531 0.300 0.500
18 Au 0.700 0.531 0.500
19 Au 0.800 0.031 0.500
20 Au 0.969 0.800 0.500


No. 9
This record from Alexandria describes crystalline Li6CrS4 at its relaxed geometry. The functional is PBE.

Output
space-group type: P4_2/nmc

abc: 8.137 8.137 5.649
angles: 90.00 90.00 90.00
Positions (direct):
1 Li 0.026 0.526 0.250
2 Li 0.026 0.974 0.250
3 Li 0.250 0.250 0.197
4 Li 0.250 0.250 0.697
5 Li 0.474 0.526 0.250
6 Li 0.474 0.974 0.250
7 Li 0.526 0.026 0.750
8 Li 0.526 0.474 0.750
9 Li 0.750 0.750 0.303
10 Li 0.750 0.750 0.803
11 Li 0.974 0.026 0.750
12 Li 0.974 0.474 0.750
13 Cr 0.250 0.750 0.750
14 Cr 0.750 0.250 0.250
15 S 0.009 0.250 0.451
16 S 0.250 0.009 0.951
17 S 0.250 0.491 0.951
18 S 0.491 0.250 0.451
19 S 0.509 0.750 0.549
20 S 0.750 0.509 0.049
21 S 0.750 0.991 0.049
22 S 0.991 0.750 0.549


No. 10
This record from Alexandria describes crystalline La3Ge2Au2 at its relaxed geometry. The functional is PBE.

Output
formation enthalpy at 0 K: -0.8184 eV/atom
space-group type: C2/m

abc: 6.109 6.109 7.624
angles: 107.50 107.50 43.97
Positions (direct):
1 La 0.000 0.000 0.000
2 La 0.173 0.173 0.642
3 La 0.827 0.827 0.358
4 Ge 0.454 0.454 0.644
5 Ge 0.546 0.546 0.356
6 Au 0.325 0.325 0.073
7 Au 0.675 0.675 0.927


No. 11
This record from Alexandria describes crystalline Ca2TiCd at its relaxed geometry. The functional is PBE.

Output
formation enthalpy at 0 K: 0.4615 eV/atom
space-group type: I-42d

abc: 6.842 6.842 6.842
angles: 102.68 102.68 124.12
Positions (direct):
1 Ca 0.109 0.125 0.484
2 Ca 0.375 0.891 0.016
3 Ca 0.641 0.625 0.516
4 Ca 0.875 0.359 0.984
5 Ti 0.250 0.750 0.500
6 Ti 0.500 0.500 0.000
7 Cd 0.000 0.000 0.000
8 Cd 0.750 0.250 0.500


No. 12
This record from Alexandria describes crystalline SrCo2Sb at its relaxed geometry. The functional is PBE.

Output
space-group type: Pmmm

abc: 4.324 4.757 4.845
angles: 90.00 90.00 90.00
Positions (direct):
1 Sr 0.000 0.000 0.000
2 Co 0.500 0.230 0.500
3 Co 0.500 0.770 0.500
4 Sb 0.000 0.500 0.500


The following E values (in eV/atom) correspond, in order, to the records above: -1.9614; -4.7069; -4.2367; -4.6846; -9.3307; -4.7098; -2.7691; -3.5811; -4.5361; -5.1858; -2.7418; -4.8747.
The following DOS at the Fermi energy values (in states/eV per atom) correspond, in order, to the records above: 1.11; 1.29; 1.44; 1.00; 0.34; 0.85; 1.32; 0.31; 0.28; 0.82; 1.32; 1.15.